Compound: Y4Co2N
Source: Alexandria via LeMat-Bulk
Functional: PBE
Structure: optimized geometry

It has space group I4/mmm (No. 139), with a = 4.6688 Å, b = 4.6688 Å, c = 14.4452 Å, α = 90.00°, β = 90.00° and γ = 90.00°. The asymmetric unit holds Y at (0.0000, 0.0000, 0.1926), Y at (0.0000, 0.5000, 0.0000), Co at (0.0000, 0.0000, 0.3737) and N at (0.0000, 0.0000, 0.5000).

The raw formation energy is -0.204 eV/atom. The calculation puts the total magnetization at 0.0 Bohr magnetons per cell. The density of states at the Fermi level comes out at 1.011 states/eV/atom.

---

Compound: Y2ZnCoN
Source: Alexandria via LeMat-Bulk
Functional: PBE
Structure: optimized geometry

It has space group P4/mmm (No. 123), with a = 4.9085 Å, b = 4.9085 Å, c = 3.6627 Å, α = 90.00°, β = 90.00° and γ = 90.00°. The asymmetric unit holds Y at (0.0000, 0.5000, 0.0000), Zn at (0.0000, 0.0000, 0.5000), Co at (0.5000, 0.5000, 0.5000) and N at (0.5000, 0.5000, 0.0000).

The raw formation energy is -0.691 eV/atom. The calculation puts the total magnetization at 1.1 Bohr magnetons per cell. The density of states at the Fermi level comes out at 0.802 states/eV/atom.

---

Compound: Zn2CoN2
Source: Alexandria via LeMat-Bulk
Functional: PBE
Structure: optimized geometry

It has space group C2/m (No. 12), with a = 11.2815 Å, b = 3.5261 Å, c = 7.2708 Å, α = 90.00°, β = 121.39° and γ = 90.00°. The asymmetric unit holds Zn at (0.1152, 0.0000, 0.3263), Zn at (0.1537, 0.5000, 0.0026), Co at (0.1173, 0.5000, 0.6062), N at (0.0172, 0.5000, 0.3133) and N at (0.2018, 0.0000, 0.1473).

The raw formation energy is 0.232 eV/atom. The calculation puts the total magnetization at 4.1 Bohr magnetons per cell. The density of states at the Fermi level comes out at 0.643 states/eV/atom.

---

Compound: ZnCo2N
Source: Alexandria via LeMat-Bulk
Functional: PBE
Structure: optimized geometry

It has space group R-3m (No. 166, hexagonal axes), with a = 2.7691 Å, b = 2.7691 Å, c = 18.7599 Å, α = 90.00°, β = 90.00° and γ = 120.00°. The asymmetric unit holds Zn at (0.0000, 0.0000, 0.0000), Co at (0.0000, 0.0000, 0.2228) and N at (0.0000, 0.0000, 0.5000).

The raw formation energy is 0.033 eV/atom. The value obtained for the energy above the most stable polymorph in this dataset is 0 meV per atom. The calculation puts the total magnetization at 0.0 Bohr magnetons per cell. The density of states at the Fermi level comes out at 0.257 states/eV/atom.

---

Compound: Zn2CoN
Source: Alexandria via LeMat-Bulk
Functional: PBE
Structure: optimized geometry

It has space group R-3m (No. 166, hexagonal axes), with a = 2.8840 Å, b = 2.8840 Å, c = 22.2329 Å, α = 90.00°, β = 90.00° and γ = 120.00°. The asymmetric unit holds Zn at (0.0000, 0.0000, 0.1115), Co at (0.0000, 0.0000, 0.0000) and N at (0.0000, 0.0000, 0.5000).

The raw formation energy is 0.717 eV/atom. The calculation puts the total magnetization at 5.1 Bohr magnetons per cell. The density of states at the Fermi level comes out at 0.770 states/eV/atom.

---

Compound: Zn2CoN
Source: Alexandria via LeMat-Bulk
Functional: PBE
Structure: optimized geometry

It has space group I-42d (No. 122), with a = 7.8417 Å, b = 7.8417 Å, c = 3.5029 Å, α = 90.00°, β = 90.00° and γ = 90.00°. The asymmetric unit holds Zn at (0.1278, 0.7500, 0.1250), Co at (0.0000, 0.0000, 0.5000) and N at (0.0000, 0.0000, 0.0000).

The raw formation energy is 0.293 eV/atom. The calculation puts the total magnetization at 0.8 Bohr magnetons per cell. The density of states at the Fermi level comes out at 0.695 states/eV/atom.

---

Compound: ZnCo2N2
Source: Alexandria via LeMat-Bulk
Functional: PBE
Structure: optimized geometry

It has space group P-4m2 (No. 115), with a = 3.4447 Å, b = 3.4447 Å, c = 5.0245 Å, α = 90.00°, β = 90.00° and γ = 90.00°. The asymmetric unit holds Zn at (0.0000, 0.0000, 0.0000), Co at (0.5000, 0.5000, 0.2535) and N at (0.0000, 0.5000, 0.7326).

The raw formation energy is 0.477 eV/atom. The calculation puts the total magnetization at 0.0 Bohr magnetons per cell. The density of states at the Fermi level comes out at 0.630 states/eV/atom.

---

Compound: Zn2Co6N
Source: Alexandria via LeMat-Bulk
Functional: PBE
Structure: optimized geometry

It has space group P-31m (No. 162), with a = 5.9728 Å, b = 5.9728 Å, c = 3.8721 Å, α = 90.00°, β = 90.00° and γ = 120.00°. The asymmetric unit holds Zn at (0.3333, 0.6667, 0.0000), Co at (0.0000, 0.2622, 0.7598) and N at (0.0000, 0.0000, 0.5000).

The raw formation energy is 0.530 eV/atom. The calculation puts the total magnetization at 7.5 Bohr magnetons per cell. The density of states at the Fermi level comes out at 1.642 states/eV/atom.

---

Compound: ZnCo2N
Source: Alexandria via LeMat-Bulk
Functional: PBE
Structure: optimized geometry

It has space group I-42d (No. 122), with a = 5.8519 Å, b = 5.8519 Å, c = 5.3094 Å, α = 90.00°, β = 90.00° and γ = 90.00°. The asymmetric unit holds Zn at (0.0000, 0.0000, 0.0000), Co at (0.1301, 0.2500, 0.6250) and N at (0.0000, 0.0000, 0.5000).

The raw formation energy is 0.108 eV/atom. The value obtained for the energy above the most stable polymorph in this dataset is 74 meV per atom. The calculation puts the total magnetization at 0.0 Bohr magnetons per cell. The density of states at the Fermi level comes out at 0.499 states/eV/atom.

---

Compound: Zn5CoN4
Source: Alexandria via LeMat-Bulk
Functional: PBE
Structure: optimized geometry

It has space group Pmmn (No. 59, origin choice 2), with a = 6.5462 Å, b = 7.3097 Å, c = 4.9916 Å, α = 90.00°, β = 90.00° and γ = 90.00°. The asymmetric unit holds Zn at (0.0016, 0.0656, 0.2473), Zn at (0.2500, 0.2500, 0.7674), Co at (0.2500, 0.7500, 0.2274), N at (0.0063, 0.7500, 0.4583) and N at (0.2500, 0.5029, 0.0013).

The raw formation energy is 0.289 eV/atom. The calculation puts the total magnetization at 5.8 Bohr magnetons per cell. The density of states at the Fermi level comes out at 0.353 states/eV/atom.

---

Compound: ZnCo2N
Source: Alexandria via LeMat-Bulk
Functional: PBE
Structure: optimized geometry

It has space group Fm-3m (No. 225), with a = 5.5524 Å, b = 5.5524 Å, c = 5.5524 Å, α = 90.00°, β = 90.00° and γ = 90.00°. The asymmetric unit holds Zn at (0.0000, 0.0000, 0.0000), Co at (0.2500, 0.2500, 0.2500) and N at (0.0000, 0.0000, 0.5000).

The raw formation energy is 0.984 eV/atom. The value obtained for the energy above the most stable polymorph in this dataset is 950 meV per atom. The calculation puts the total magnetization at 14.7 Bohr magnetons per cell. The density of states at the Fermi level comes out at 1.558 states/eV/atom.

---

Compound: Zr4CoN
Source: Alexandria via LeMat-Bulk
Functional: PBE
Structure: optimized geometry

It has space group P2_1/c (No. 14), with a = 5.9340 Å, b = 5.8653 Å, c = 6.2576 Å, α = 90.00°, β = 100.81° and γ = 90.00°. The asymmetric unit holds Zr at (0.1096, 0.1657, 0.1953), Zr at (0.3417, 0.6493, 0.1188), Co at (0.5000, 0.0000, 0.0000) and N at (0.0000, 0.0000, 0.5000).

The raw formation energy is -0.596 eV/atom. The calculation puts the total magnetization at 0.0 Bohr magnetons per cell. The density of states at the Fermi level comes out at 0.935 states/eV/atom.

---

Compound: Zr6CoN3
Source: Alexandria via LeMat-Bulk
Functional: PBE
Structure: optimized geometry

It has space group P2_1/m (No. 11), with a = 9.8793 Å, b = 3.2734 Å, c = 10.3300 Å, α = 90.00°, β = 110.64° and γ = 90.00°. The asymmetric unit holds Zr at (0.0332, 0.2500, 0.3640), Zr at (0.1319, 0.7500, 0.1266), Zr at (0.2643, 0.2500, 0.6639), Zr at (0.3399, 0.7500, 0.4411), Zr at (0.3484, 0.7500, 0.9412), Zr at (0.4333, 0.2500, 0.2232), Co at (0.1241, 0.2500, 0.8868), N at (0.1421, 0.7500, 0.5172), N at (0.2267, 0.2500, 0.2812) and N at (0.4595, 0.2500, 0.8581).

The raw formation energy is -1.065 eV/atom. The calculation puts the total magnetization at 0.5 Bohr magnetons per cell. The density of states at the Fermi level comes out at 0.679 states/eV/atom.

---

Compound: Zr3CoN
Source: Alexandria via LeMat-Bulk
Functional: PBE
Structure: optimized geometry

It has space group Pm-3m (No. 221), with a = 4.4115 Å, b = 4.4115 Å, c = 4.4115 Å, α = 90.00°, β = 90.00° and γ = 90.00°. The asymmetric unit holds Zr at (0.0000, 0.0000, 0.5000), Co at (0.5000, 0.5000, 0.5000) and N at (0.0000, 0.0000, 0.0000).

The raw formation energy is -0.599 eV/atom. The calculation puts the total magnetization at 0.0 Bohr magnetons per cell. The density of states at the Fermi level comes out at 0.896 states/eV/atom.

---

Compound: Zr2CoN
Source: Alexandria via LeMat-Bulk
Functional: PBE
Structure: optimized geometry

It has space group Cmcm (No. 63), with a = 3.3814 Å, b = 20.1897 Å, c = 3.3973 Å, α = 90.00°, β = 90.00° and γ = 90.00°. The asymmetric unit holds Zr at (0.0000, 0.0825, 0.2500), Zr at (0.0000, 0.3044, 0.2500), Co at (0.0000, 0.4592, 0.2500) and N at (0.0000, 0.1938, 0.2500).

The raw formation energy is -0.982 eV/atom. The calculation puts the total magnetization at 0.0 Bohr magnetons per cell. The density of states at the Fermi level comes out at 0.327 states/eV/atom.

---

Compound: Zr3CoN
Source: Alexandria via LeMat-Bulk
Functional: PBE
Structure: optimized geometry

It has space group C2/c (No. 15), with a = 12.1490 Å, b = 10.0107 Å, c = 5.7769 Å, α = 90.00°, β = 99.61° and γ = 90.00°. The asymmetric unit holds Zr at (0.1064, 0.0868, 0.4389), Zr at (0.1081, 0.4165, 0.4544), Zr at (0.1111, 0.2586, 0.9622), Co at (0.2393, 0.0815, 0.8169), N at (0.0000, 0.2585, 0.2500) and N at (0.0000, 0.4226, 0.7500).

The raw formation energy is -0.633 eV/atom. The calculation puts the total magnetization at 0.0 Bohr magnetons per cell. The density of states at the Fermi level comes out at 0.685 states/eV/atom.

---

Compound: Zr8Co2N
Source: Alexandria via LeMat-Bulk
Functional: PBE
Structure: optimized geometry

It has space group C2/m (No. 12), with a = 16.0864 Å, b = 3.3117 Å, c = 7.9207 Å, α = 90.00°, β = 95.80° and γ = 90.00°. The asymmetric unit holds Zr at (0.0140, 0.0000, 0.1936), Zr at (0.0913, 0.5000, 0.5396), Zr at (0.1479, 0.5000, 0.9882), Zr at (0.2108, 0.0000, 0.3355), Co at (0.1774, 0.0000, 0.7465) and N at (0.0000, 0.5000, 0.0000).

The raw formation energy is -0.473 eV/atom. The calculation puts the total magnetization at 0.0 Bohr magnetons per cell. The density of states at the Fermi level comes out at 0.983 states/eV/atom.

---

Compound: Zr6CoN4
Source: Alexandria via LeMat-Bulk
Functional: PBE
Structure: optimized geometry

It has space group Cmcm (No. 63), with a = 3.2878 Å, b = 11.0079 Å, c = 17.1727 Å, α = 90.00°, β = 90.00° and γ = 90.00°. The asymmetric unit holds Zr at (0.0000, 0.0000, 0.0000), Zr at (0.0000, 0.1636, 0.2500), Zr at (0.0000, 0.2749, 0.5800), Zr at (0.0000, 0.4582, 0.1551), Co at (0.0000, 0.1600, 0.7500), N at (0.0000, 0.0940, 0.1216) and N at (0.0000, 0.3629, 0.0400).

The raw formation energy is -1.342 eV/atom. The calculation puts the total magnetization at 0.0 Bohr magnetons per cell. The density of states at the Fermi level comes out at 0.536 states/eV/atom.

---

Compound: Zr2CoN2
Source: Alexandria via LeMat-Bulk
Functional: PBE
Structure: optimized geometry

It has space group I4/mmm (No. 139), with a = 3.8119 Å, b = 3.8119 Å, c = 10.8320 Å, α = 90.00°, β = 90.00° and γ = 90.00°. The asymmetric unit holds Zr at (0.0000, 0.0000, 0.1611), Co at (0.0000, 0.0000, 0.5000) and N at (0.0000, 0.5000, 0.2500).

The raw formation energy is -0.593 eV/atom. The calculation puts the total magnetization at 2.7 Bohr magnetons per cell. The density of states at the Fermi level comes out at 0.966 states/eV/atom.

---

Compound: Zr2CoN2
Source: Alexandria via LeMat-Bulk
Functional: PBE
Structure: optimized geometry

It has space group P4/mbm (No. 127), with a = 6.5414 Å, b = 6.5414 Å, c = 2.9481 Å, α = 90.00°, β = 90.00° and γ = 90.00°. The asymmetric unit holds Zr at (0.1612, 0.3388, 0.0000), Co at (0.0000, 0.0000, 0.0000) and N at (0.1454, 0.6454, 0.5000).

The raw formation energy is -0.222 eV/atom. The calculation puts the total magnetization at 0.8 Bohr magnetons per cell. The density of states at the Fermi level comes out at 0.881 states/eV/atom.

---

Compound: Zr4Co2N
Source: Alexandria via LeMat-Bulk
Functional: PBE
Structure: optimized geometry

It has space group C2/m (No. 12), with a = 13.2656 Å, b = 3.2978 Å, c = 5.7740 Å, α = 90.00°, β = 112.93° and γ = 90.00°. The asymmetric unit holds Zr at (0.0889, 0.0000, 0.4180), Zr at (0.1278, 0.5000, 0.9788), Co at (0.2368, 0.5000, 0.6650) and N at (0.0000, 0.0000, 0.0000).

The raw formation energy is -0.468 eV/atom. The value obtained for the energy above the most stable polymorph in this dataset is 243 meV per atom. The calculation puts the total magnetization at 0.0 Bohr magnetons per cell. The density of states at the Fermi level comes out at 0.878 states/eV/atom.

---

Compound: Zr6CoN
Source: Alexandria via LeMat-Bulk
Functional: PBE
Structure: optimized geometry

It has space group R-3 (No. 148, hexagonal axes), with a = 5.8192 Å, b = 5.8192 Å, c = 16.3113 Å, α = 90.00°, β = 90.00° and γ = 120.00°. The asymmetric unit holds Zr at (0.0036, 0.6488, 0.0880), Co at (0.0000, 0.0000, 0.0000) and N at (0.0000, 0.0000, 0.5000).

The raw formation energy is -0.398 eV/atom. The calculation puts the total magnetization at 0.0 Bohr magnetons per cell. The density of states at the Fermi level comes out at 0.978 states/eV/atom.

---

Compound: ZrCo2N2
Source: Alexandria via LeMat-Bulk
Functional: PBE
Structure: optimized geometry

It has space group P-3m1 (No. 164), with a = 3.1351 Å, b = 3.1351 Å, c = 6.1644 Å, α = 90.00°, β = 90.00° and γ = 120.00°. The asymmetric unit holds Zr at (0.0000, 0.0000, 0.0000), Co at (0.3333, 0.6667, 0.6532) and N at (0.3333, 0.6667, 0.2282).

The raw formation energy is -0.442 eV/atom. The calculation puts the total magnetization at 1.0 Bohr magnetons per cell. The density of states at the Fermi level comes out at 0.703 states/eV/atom.